Pm2Si4Os3 PBE relaxed; formation energy (no corrections) = -398 meV per atom; density = 9.88 Mg/m³; excess energy over the best structure of this formula in the dataset = 0.166 eV per atom
1.0
0.000 4.883 5.996
2.794 0.000 5.996
2.794 4.883 0.000
Pm Si Os
2 4 3
Cartesian
2.794 4.883 1.620 Pm
2.794 4.883 10.372 Pm
2.794 3.126 4.136 Si
2.794 3.126 7.856 Si
2.794 6.639 4.136 Si
2.794 6.639 7.856 Si
1.397 2.441 0.000 Os
1.397 2.441 5.996 Os
2.794 4.883 5.996 Os

PmSi2Os PBE relaxed; formation energy (no corrections) = -698 meV per atom; density = 8.86 Mg/m³; excess energy over the best structure of this formula in the dataset = 0.000 eV per atom
1.0
7.071 0.000 0.000
0.000 4.131 0.000
0.000 0.000 10.049
Pm Si Os
4 8 4
Cartesian
1.074 1.033 1.246 Pm
2.461 3.098 6.270 Pm
4.610 1.033 3.778 Pm
5.997 3.098 8.803 Pm
1.082 1.033 8.179 Si
1.349 1.033 4.237 Si
2.187 3.098 9.262 Si
2.453 3.098 3.155 Si
4.618 1.033 6.894 Si
4.884 1.033 0.787 Si
5.722 3.098 5.812 Si
5.989 3.098 1.869 Si
0.107 3.098 3.915 Os
3.428 1.033 8.939 Os
3.643 3.098 1.110 Os
6.964 1.033 6.134 Os

Pm2SiOs2 PBE relaxed; formation energy (no corrections) = -387 meV per atom; density = 10.95 Mg/m³
1.0
4.857 -2.891 0.000
4.857 2.891 0.000
-1.698 0.000 7.547
Pm Si Os
4 2 4
Cartesian
1.178 0.821 1.087 Pm
0.329 -0.821 4.860 Pm
7.686 0.821 2.687 Pm
6.837 -0.821 6.460 Pm
4.432 0.488 1.887 Si
3.583 -0.488 5.660 Si
2.690 0.850 3.689 Os
6.175 0.850 0.084 Os
1.841 -0.850 7.463 Os
5.326 -0.850 3.857 Os

Pm2Si5Os3 PBE relaxed; formation energy (no corrections) = -701 meV per atom; density = 9.75 Mg/m³
1.0
-4.880 6.079 2.873
4.880 -6.079 2.873
4.880 6.079 -2.873
Pm Si Os
4 10 6
Cartesian
2.271 1.631 0.000 Pm
2.271 -1.631 2.873 Pm
2.609 7.711 0.000 Pm
2.609 4.448 2.873 Pm
4.880 -2.556 1.436 Si
6.494 1.179 0.000 Si
0.000 0.000 1.436 Si
1.614 4.900 0.000 Si
4.880 2.556 1.436 Si
0.000 3.523 1.436 Si
3.266 1.179 2.873 Si
0.000 0.000 4.309 Si
-1.614 4.900 2.873 Si
0.000 8.635 1.436 Si
3.935 -4.307 2.873 Os
4.880 0.000 1.436 Os
3.935 4.307 0.000 Os
0.944 1.772 2.873 Os
0.000 6.079 1.436 Os
0.944 10.386 0.000 Os

The lowest density belongs to which entry? PmSi2Os

Look up the density of the first one. 9.88 Mg/m³

Copy entry 3 word for word.
Pm2SiOs2 PBE relaxed; formation energy (no corrections) = -387 meV per atom; density = 10.95 Mg/m³
1.0
4.857 -2.891 0.000
4.857 2.891 0.000
-1.698 0.000 7.547
Pm Si Os
4 2 4
Cartesian
1.178 0.821 1.087 Pm
0.329 -0.821 4.860 Pm
7.686 0.821 2.687 Pm
6.837 -0.821 6.460 Pm
4.432 0.488 1.887 Si
3.583 -0.488 5.660 Si
2.690 0.850 3.689 Os
6.175 0.850 0.084 Os
1.841 -0.850 7.463 Os
5.326 -0.850 3.857 Os

Which value of density does entry 2 give? 8.86 Mg/m³